# Na3YHg

An optimized crystal structure of Na3YHg (PBE, Alexandria).

Properties
formation energy from the elements	8.292	kcal/mol of atoms
space-group type	Pm-3m, No. 221

Geometry as extended XYZ:
```
5
Lattice="5.634 0.000 0.000 0.000 5.634 0.000 0.000 0.000 5.634" Properties=species:S:1:pos:R:3 pbc="T T T"
Y 2.817 2.817 2.817
Na 0.000 2.817 0.000
Na 0.000 0.000 2.817
Na 2.817 0.000 0.000
Hg 0.000 0.000 0.000
```